# 1
# AlAuBr3 | the Alexandria database | PBE | optimized geometry
data_AlAuBr3
_chemical_formula_sum 'Al1 Au1 Br3'
_cell_length_a 5.349
_cell_length_b 5.349
_cell_length_c 5.349
_cell_angle_alpha 90.00
_cell_angle_beta 90.00
_cell_angle_gamma 90.00
_space_group_name_H-M_alt 'P m -3 m'
_space_group_IT_number 221
_space_group_name_Hall '-P 4 2 3'
loop_
_atom_site_label
_atom_site_type_symbol
_atom_site_fract_x
_atom_site_fract_y
_atom_site_fract_z
Al1 Al 0.000 0.000 0.000
Au1 Au 0.500 0.500 0.500
Br1 Br 0.000 0.500 0.500
# ΔE to the lowest computed polymorph, meV/atom: 115.6
# D(E_F), states/eV/atom: 0.362
# E_form (uncorrected), eV/atom: -0.0245

---

# 2
# TlSb2TeF | the Alexandria database | PBE | optimized geometry
data_TlSb2TeF
_chemical_formula_sum 'Tl1 Sb2 Te1 F1'
_cell_length_a 5.732
_cell_length_b 5.732
_cell_length_c 5.716
_cell_angle_alpha 90.00
_cell_angle_beta 90.00
_cell_angle_gamma 90.00
_space_group_name_H-M_alt 'P 4/m m m'
_space_group_IT_number 123
_space_group_name_Hall '-P 4 2'
loop_
_atom_site_label
_atom_site_type_symbol
_atom_site_fract_x
_atom_site_fract_y
_atom_site_fract_z
Tl1 Tl 0.000 0.000 0.000
Sb1 Sb 0.000 0.500 0.000
Te1 Te 0.000 0.000 0.500
F1 F 0.500 0.500 0.500
# ΔE to the lowest computed polymorph, meV/atom: 806.4
# D(E_F), states/eV/atom: 0.816
# E_form (uncorrected), eV/atom: 0.6309

---

# 3
# PmHo10Th4 | the Alexandria database | PBE | optimized geometry
data_PmHo10Th4
_chemical_formula_sum 'Pm2 Ho20 Th8'
_cell_length_a 9.639
_cell_length_b 9.639
_cell_length_c 10.751
_cell_angle_alpha 90.00
_cell_angle_beta 90.00
_cell_angle_gamma 90.00
_space_group_name_H-M_alt 'I 4/m'
_space_group_IT_number 87
_space_group_name_Hall '-I 4'
loop_
_atom_site_label
_atom_site_type_symbol
_atom_site_fract_x
_atom_site_fract_y
_atom_site_fract_z
Pm1 Pm 0.000 0.000 0.000
Ho1 Ho 0.000 0.500 0.250
Ho2 Ho 0.116 0.788 0.343
Th1 Th 0.065 0.661 0.000
# D(E_F), states/eV/atom: 1.604
# Formation energy, eV/atom: 0.38

---

# 4
# LiYTl | the Alexandria database | PBE | optimized geometry
data_LiYTl
_chemical_formula_sum 'Li2 Y2 Tl2'
_cell_length_a 5.282
_cell_length_b 6.254
_cell_length_c 5.297
_cell_angle_alpha 90.00
_cell_angle_beta 119.53
_cell_angle_gamma 90.00
_space_group_name_H-M_alt 'P 1 21/m 1'
_space_group_IT_number 11
loop_
_space_group_symop_operation_xyz
'x,y,z'
'-x,-y,-z'
'-x,y+1/2,-z'
'x,-y+1/2,z'
loop_
_atom_site_label
_atom_site_type_symbol
_atom_site_fract_x
_atom_site_fract_y
_atom_site_fract_z
Li1 Li 0.000 0.000 0.000
Y1 Y 0.334 0.250 0.664
Tl1 Tl 0.332 0.750 0.672
# ΔE to the lowest computed polymorph, meV/atom: 28.6
# D(E_F), states/eV/atom: 0.585
# Formation energy, eV/atom: -0.27

---

# 5
# Re2RuSe | the Alexandria database | PBE | optimized geometry
data_Re2RuSe
_chemical_formula_sum 'Re8 Ru4 Se4'
_cell_length_a 5.628
_cell_length_b 5.628
_cell_length_c 10.835
_cell_angle_alpha 90.00
_cell_angle_beta 90.00
_cell_angle_gamma 90.00
_space_group_name_H-M_alt 'I -4 2 d'
_space_group_IT_number 122
_space_group_name_Hall 'I -4 2bw'
loop_
_atom_site_label
_atom_site_type_symbol
_atom_site_fract_x
_atom_site_fract_y
_atom_site_fract_z
Re1 Re 0.243 0.250 0.125
Ru1 Ru 0.000 0.000 0.000
Se1 Se 0.000 0.000 0.500
# ΔE to the lowest computed polymorph, meV/atom: 785.4
# D(E_F), states/eV/atom: 0.658
# E_form (uncorrected), eV/atom: 1.0343

---

# 6
# SmUPb2S6 | the Alexandria database | PBE | optimized geometry
data_SmUPb2S6
_chemical_formula_sum 'Sm3 U3 Pb6 S18'
_cell_length_a 7.2226
_cell_length_b 7.2226
_cell_length_c 18.5082
_cell_angle_alpha 90.00
_cell_angle_beta 90.00
_cell_angle_gamma 120.00
_space_group_name_H-M_alt 'R 3'
_space_group_IT_number 146
_space_group_name_Hall 'R 3'
loop_
_atom_site_label
_atom_site_type_symbol
_atom_site_fract_x
_atom_site_fract_y
_atom_site_fract_z
Sm1 Sm 0.0000 0.0000 0.0000
U1 U 0.0000 0.0000 0.5038
Pb1 Pb 0.0000 0.0000 0.2046
Pb2 Pb 0.0000 0.0000 0.7082
S1 S 0.0020 0.3957 0.7625
S2 S 0.0288 0.6272 0.2590
# D(E_F), states/eV/atom: 0.035
# E_form (uncorrected), eV/atom: -1.1475

---

# 7
# LuCrRh2 | the Alexandria database | PBE | optimized geometry
data_LuCrRh2
_chemical_formula_sum 'Lu1 Cr1 Rh2'
_cell_length_a 4.425
_cell_length_b 4.425
_cell_length_c 3.351
_cell_angle_alpha 90.00
_cell_angle_beta 90.00
_cell_angle_gamma 90.00
_space_group_name_H-M_alt 'P 4/m m m'
_space_group_IT_number 123
_space_group_name_Hall '-P 4 2'
loop_
_atom_site_label
_atom_site_type_symbol
_atom_site_fract_x
_atom_site_fract_y
_atom_site_fract_z
Lu1 Lu 0.000 0.000 0.000
Cr1 Cr 0.500 0.500 0.000
Rh1 Rh 0.000 0.500 0.500
# ΔE to the lowest computed polymorph, meV/atom: 0.0
# D(E_F), states/eV/atom: 0.867
# Formation energy, eV/atom: -0.45

---

# 8
# TmScC2 | the Alexandria database | PBE | optimized geometry
data_TmScC2
_chemical_formula_sum 'Tm3 Sc3 C6'
_cell_length_a 3.4313
_cell_length_b 3.4313
_cell_length_c 16.6714
_cell_angle_alpha 90.00
_cell_angle_beta 90.00
_cell_angle_gamma 120.00
_space_group_name_H-M_alt 'R -3 m'
_space_group_IT_number 166
_space_group_name_Hall '-R 3 2"'
loop_
_atom_site_label
_atom_site_type_symbol
_atom_site_fract_x
_atom_site_fract_y
_atom_site_fract_z
Tm1 Tm 0.0000 0.0000 0.0000
Sc1 Sc 0.0000 0.0000 0.5000
C1 C 0.0000 0.0000 0.2454
# D(E_F), states/eV/atom: 0.858
# Formation energy, eV/atom: -0.08

---

no.,ρ (kg/m3)
1,5029
2,5257
3,9052
4,6549
5,10693
6,5929
7,10952
8,6972